Record 1
Entry from OQMD via LeMat-Bulk: a relaxed structure of Zr5CuSb3 (GGA-PBE).

Properties
- Calculated volume: 20.92 Å³/atom
- SG: No. 193
- Energy: -130.0 eV per cell

a = 8.6274 Å, b = 8.6274 Å, c = 5.8408 Å
α = 90.00°, β = 90.00°, γ = 120.00°
Element x y z (fractional)
Cu: 0.0000 0.0000 0.0000
Cu: 0.0000 0.0000 0.5000
Sb: 0.6153 0.0000 0.2500
Sb: 0.3847 0.3847 0.2500
Sb: 0.0000 0.6153 0.2500
Sb: 0.3847 0.0000 0.7500
Sb: 0.0000 0.3847 0.7500
Sb: 0.6153 0.6153 0.7500
Zr: 0.6667 0.3333 0.0000
Zr: 0.3333 0.6667 0.0000
Zr: 0.2651 0.0000 0.2500
Zr: 0.0000 0.2651 0.2500
Zr: 0.7349 0.7349 0.2500
Zr: 0.6667 0.3333 0.5000
Zr: 0.3333 0.6667 0.5000
Zr: 0.7349 0.0000 0.7500
Zr: 0.2651 0.2651 0.7500
Zr: 0.0000 0.7349 0.7500

***

Record 2
Entry from OQMD via LeMat-Bulk: a relaxed structure of InGa2Fe (GGA-PBE).

Properties
- Calculated volume: 18.07 Å³/atom
- SG: No. 216
- Energy: -15.7 eV per cell

a = 4.6753 Å, b = 4.6753 Å, c = 4.6753 Å
α = 60.00°, β = 60.00°, γ = 60.00°
Element x y z (fractional)
Fe: 0.2500 0.2500 0.2500
Ga: 0.0000 0.0000 0.0000
Ga: 0.7500 0.7500 0.7500
In: 0.5000 0.5000 0.5000

***

Record 3
Entry from OQMD via LeMat-Bulk: a relaxed structure of PrZr (GGA-PBE).

Properties
- Calculated volume: 28.87 Å³/atom
- SG: No. 26
- Energy of formation: 0.171 eV/atom
- Energy: -77.9 eV per cell

a = 5.9309 Å, b = 10.5728 Å, c = 5.5254 Å
α = 90.00°, β = 90.00°, γ = 90.00°
Element x y z (fractional)
Pr: 0.4856 0.1570 0.0000
Pr: 0.9856 0.6763 0.0000
Pr: 0.8626 0.1572 0.5000
Pr: 0.3204 0.3423 0.5000
Pr: 0.8204 0.4910 0.5000
Pr: 0.3626 0.6761 0.5000
Zr: 0.9995 0.3423 0.0000
Zr: 0.4995 0.4911 0.0000
Zr: 0.5210 0.8486 0.0000
Zr: 0.0210 0.9848 0.0000
Zr: 0.8108 0.8585 0.5000
Zr: 0.3109 0.9749 0.5000

***

Record 4
Entry from OQMD via LeMat-Bulk: a relaxed structure of KDyPO (GGA-PBE).

Properties
- Calculated volume: 23.78 Å³/atom
- SG: No. 26
- Energy: -44.1 eV per cell

a = 4.8005 Å, b = 6.7347 Å, c = 5.8851 Å
α = 90.00°, β = 90.00°, γ = 90.00°
Element x y z (fractional)
Dy: 0.0000 0.2252 0.4964
Dy: 0.0000 0.7748 0.9964
K: 0.5000 0.8686 0.4946
K: 0.5000 0.1314 0.9946
O: 0.0000 0.0040 0.2409
O: 0.0000 0.9960 0.7409
P: 0.5000 0.5645 0.0220
P: 0.5000 0.4355 0.5220

***

Record 5
Entry from OQMD via LeMat-Bulk: a relaxed structure of LiTcB2 (GGA-PBE).

Properties
- Calculated volume: 8.79 Å³/atom
- SG: No. 216
- Energy: -22.7 eV per cell

a = 3.6776 Å, b = 3.6776 Å, c = 3.6776 Å
α = 60.00°, β = 60.00°, γ = 60.00°
Element x y z (fractional)
B: 0.2500 0.2500 0.2500
B: 0.5000 0.5000 0.5000
Li: 0.7500 0.7500 0.7500
Tc: 0.0000 0.0000 0.0000

***

Record 6
Entry from OQMD via LeMat-Bulk: a relaxed structure of PmInHg (GGA-PBE).

Properties
- Calculated volume: 29.10 Å³/atom
- SG: No. 216
- Energy: -8.6 eV per cell

a = 4.9793 Å, b = 4.9793 Å, c = 4.9793 Å
α = 60.00°, β = 60.00°, γ = 60.00°
Element x y z (fractional)
Hg: 0.2500 0.2500 0.2500
In: 0.0000 0.0000 0.0000
Pm: 0.7500 0.7500 0.7500